# Pd6PtPb12 PBE relaxed
# E: -4.4370 eV/atom
# Energy of formation: -0.14 eV per atom
data_Pd6PtPb12
_cell_length_a 12.4620
_cell_length_b 12.4620
_cell_length_c 11.5414
_cell_angle_alpha 90.00
_cell_angle_beta 90.00
_cell_angle_gamma 120.00
_space_group_name_H-M_alt 'R -3'
_space_group_IT_number 148
_space_group_name_Hall '-R 3'
loop_
_atom_site_label
_atom_site_type_symbol
_atom_site_fract_x
_atom_site_fract_y
_atom_site_fract_z
_atom_site_occupancy
Pd1 Pd 0.0476 0.7900 0.1540 1
Pt1 Pt 0.0000 0.0000 0.5000 1
Pb1 Pb 0.0372 0.8207 0.8979 1
Pb2 Pb 0.0428 0.8246 0.3928 1


# Na3TlCd PBE relaxed
# E: -1.5323 eV/atom
# Offset from the most stable computed form: 0.000 eV/atom
# Energy of formation: -0.08 eV per atom
data_Na3TlCd
_cell_length_a 7.539
_cell_length_b 4.909
_cell_length_c 7.560
_cell_angle_alpha 90.00
_cell_angle_beta 90.51
_cell_angle_gamma 90.00
_space_group_name_H-M_alt 'P 1 21/m 1'
_space_group_IT_number 11
loop_
_space_group_symop_operation_xyz
'x,y,z'
'-x,-y,-z'
'-x,y+1/2,-z'
'x,-y+1/2,z'
loop_
_atom_site_label
_atom_site_type_symbol
_atom_site_fract_x
_atom_site_fract_y
_atom_site_fract_z
_atom_site_occupancy
Na1 Na 0.049 0.250 0.335 1
Na2 Na 0.250 0.250 0.748 1
Na3 Na 0.451 0.250 0.160 1
Tl1 Tl 0.345 0.750 0.440 1
Cd1 Cd 0.140 0.750 0.053 1


no.,V (A^3/atom),Fermi-level density of states (states/eV/f.u.),magnetic moment (μB/f.u.)
1,27.2,10.761,0.00
2,28.0,2.096,0.00